Record 1
SrNpCu2Te4: optimized geometry, GGA-PBE.

Unit cell a=7.2406 b=6.7580 c=6.7580 alpha=70.13 beta=57.61 gamma=57.61
Last column: nearest neighbours and their distance in Å.
Element x y z (fractional)
Sr 0.0000 0.0000 0.0000  8 Te 3.34-3.46
Np 0.5000 0.5000 0.5000  4 Te 3.08
Cu 0.1529 0.3471 0.3471  1 Cu 2.56, 2 Te 2.56
Cu 0.8471 0.6529 0.6529  1 Cu 2.56, 2 Te 2.56
Te 0.4651 0.0626 0.5080  1 Cu 2.56
Te 0.0357 0.9374 0.4920  1 Cu 2.56
Te 0.9643 0.5080 0.0626  1 Cu 2.56
Te 0.5349 0.4920 0.9374  1 Cu 2.56

## Properties
Formation energy (no corrections), eV/atom: -0.47
Fermi-level density of states, states/eV per atom: 1.41
Space-group type: I222 (23)

Record 2
NbRuRhO6: optimized geometry, GGA-PBE.

Unit cell a=5.0223 b=5.0223 c=9.1775 alpha=90.00 beta=90.00 gamma=120.00
Last column: nearest neighbours and their distance in Å.
Element x y z (fractional)
Nb 0.6667 0.3333 0.2500  6 O 2.02
Nb 0.3333 0.6667 0.7500  6 O 2.02
Ru 0.0000 0.0000 0.0000  6 O 1.99
Ru 0.0000 0.0000 0.5000  6 O 1.99
Rh 0.3333 0.6667 0.2500  6 O 2.08
Rh 0.6667 0.3333 0.7500  6 O 2.08
O 0.6801 0.6706 0.1243  1 Ru 1.99, 1 Nb 2.02, 1 Rh 2.08
O 0.9905 0.3199 0.1243  1 Ru 1.99, 1 Nb 2.02, 1 Rh 2.08
O 0.3199 0.9905 0.6243  1 Ru 1.99, 1 Nb 2.02, 1 Rh 2.08
O 0.0095 0.6801 0.8757  1 Ru 1.99, 1 Nb 2.02, 1 Rh 2.08
O 0.3294 0.3199 0.3757  1 Ru 1.99, 1 Nb 2.02, 1 Rh 2.08
O 0.9905 0.6706 0.3757  1 Ru 1.99, 1 Nb 2.02, 1 Rh 2.08
O 0.6706 0.9905 0.8757  1 Ru 1.99, 1 Nb 2.02, 1 Rh 2.08
O 0.6801 0.0095 0.3757  1 Ru 1.99, 1 Nb 2.02, 1 Rh 2.08
O 0.0095 0.3294 0.6243  1 Ru 1.99, 1 Nb 2.02, 1 Rh 2.08
O 0.3294 0.0095 0.1243  1 Ru 1.99, 1 Nb 2.02, 1 Rh 2.08
O 0.6706 0.6801 0.6243  1 Ru 1.99, 1 Nb 2.02, 1 Rh 2.08
O 0.3199 0.3294 0.8757  1 Ru 1.99, 1 Nb 2.02, 1 Rh 2.08

## Properties
Formation energy (no corrections), eV/atom: -1.44
Fermi-level density of states, states/eV per atom: 0.55
Space-group type: P-31c (163)

Record 3
Cd6InCu6: optimized geometry, GGA-PBE.

Unit cell a=5.2671 b=7.0757 c=7.0757 alpha=82.51 beta=68.15 gamma=68.15
Last column: nearest neighbours and their distance in Å.
Element x y z (fractional)
Cd 0.3407 0.6593 0.6593  6 Cu 2.81, 3 Cd 2.94-3.04
Cd 0.6593 0.3407 0.3407  6 Cu 2.81, 3 Cd 2.94-3.04
Cd 0.0000 0.3350 0.6650  6 Cu 2.77-2.78, 1 Cd 3.08
Cd 0.0000 0.6650 0.3350  6 Cu 2.77-2.78, 1 Cd 3.08
Cd 0.3229 0.1771 0.1771  6 Cu 2.76-2.80, 2 Cd 3.04
Cd 0.6771 0.8229 0.8229  6 Cu 2.76-2.80, 2 Cd 3.04
In 0.0000 0.0000 0.0000  8 Cd 3.10-3.15
Cu 0.0000 0.5000 0.0000  4 Cu 2.63-2.66, 6 Cd 2.76-2.81
Cu 0.5000 0.5000 0.0000  4 Cu 2.63-2.66, 6 Cd 2.76-2.81
Cu 0.0000 0.0000 0.5000  4 Cu 2.63-2.66, 6 Cd 2.76-2.81
Cu 0.5000 0.0000 0.5000  4 Cu 2.63-2.66, 6 Cd 2.76-2.81
Cu 0.5000 0.7568 0.2432  4 Cu 2.66, 6 Cd 2.77-2.81
Cu 0.5000 0.2432 0.7568  4 Cu 2.66, 6 Cd 2.77-2.81

## Properties
Fermi-level density of states, states/eV per atom: 0.35
Space-group type: Immm (71)
ΔE_f, meV/atom: 41

Record 4
TbHg6Pb2: optimized geometry, GGA-PBE.

Unit cell a=5.0415 b=6.3203 c=8.7514 alpha=68.83 beta=81.79 gamma=66.70
Last column: nearest neighbours and their distance in Å.
Element x y z (fractional)
Tb 0.0000 0.0000 0.5000  8 Hg 3.21-3.25
Hg 0.1659 0.8229 0.1822  4 Hg 3.14-3.37, 3 Pb 3.19-3.27, 1 Tb 3.25
Hg 0.8341 0.4949 0.1822  4 Hg 3.14-3.37, 3 Pb 3.19-3.27, 1 Tb 3.25
Hg 0.8341 0.1771 0.8178  4 Hg 3.14-3.37, 3 Pb 3.19-3.27, 1 Tb 3.25
Hg 0.1659 0.5051 0.8178  4 Hg 3.14-3.37, 3 Pb 3.19-3.27, 1 Tb 3.25
Hg 0.3290 0.3440 0.5000  4 Hg 3.09-3.19, 2 Tb 3.21-3.22, 2 Pb 3.37
Hg 0.6710 0.6560 0.5000  4 Hg 3.09-3.19, 2 Tb 3.21-3.22, 2 Pb 3.37
Pb 0.5000 0.8338 0.8323  8 Hg 3.19-3.37
Pb 0.5000 0.1662 0.1677  8 Hg 3.19-3.37

## Properties
Fermi-level density of states, states/eV per atom: 0.54
Space-group type: C2/m (12)
ΔE_f, meV/atom: -103

Record 5
La3Ge4Pd7: optimized geometry, GGA-PBE.

Unit cell a=4.2145 b=8.4000 c=8.5511 alpha=70.78 beta=75.73 gamma=75.47
Last column: nearest neighbours and their distance in Å.
Element x y z (fractional)
La 0.3259 0.1788 0.1693  10 Pd 3.11-3.40, 4 Ge 3.14-3.15
La 0.6741 0.8212 0.8307  10 Pd 3.11-3.40, 4 Ge 3.14-3.15
La 0.0000 0.5000 0.5000  6 Ge 3.10-3.21, 6 Pd 3.38
Ge 0.6644 0.4431 0.2282  5 Pd 2.56-2.65
Ge 0.3356 0.5569 0.7718  5 Pd 2.56-2.65
Ge 0.8900 0.8925 0.3276  6 Pd 2.60-2.67
Ge 0.1100 0.1075 0.6724  6 Pd 2.60-2.67
Pd 0.3064 0.8540 0.5333  4 Ge 2.63-2.67, 1 Pd 2.87
Pd 0.4923 0.2394 0.7761  3 Ge 2.57-2.62, 1 Pd 2.87
Pd 0.8308 0.4147 0.9237  3 Ge 2.56-2.60
Pd 0.6936 0.1460 0.4667  4 Ge 2.63-2.67, 1 Pd 2.87
Pd 0.1692 0.5853 0.0763  3 Ge 2.56-2.60
Pd 0.0000 0.0000 0.0000  2 Ge 2.60
Pd 0.5077 0.7606 0.2239  3 Ge 2.57-2.62, 1 Pd 2.87

## Properties
Fermi-level density of states, states/eV per atom: 0.64
Space-group type: C2/m (12)
ΔE_f, meV/atom: -834

Record 6
Ac3Mg4Au4: optimized geometry, GGA-PBE.

Unit cell a=4.3825 b=8.3605 c=9.1276 alpha=117.26 beta=103.89 gamma=90.00
Last column: nearest neighbours and their distance in Å.
Element x y z (fractional)
Ac 0.1187 0.1187 0.2374  6 Au 3.27-3.35, 6 Mg 3.52-3.56
Ac 0.8813 0.8813 0.7626  6 Au 3.27-3.35, 6 Mg 3.52-3.56
Ac 0.0000 0.5000 0.0000  6 Au 3.29-3.53
Mg 0.3230 0.1338 0.6459  4 Au 2.81-3.01
Mg 0.6770 0.4878 0.3541  4 Au 2.81-3.01
Mg 0.6770 0.8662 0.3541  4 Au 2.81-3.01
Mg 0.3230 0.5122 0.6459  4 Au 2.81-3.01
Au 0.2258 0.7258 0.4516  6 Mg 2.81-3.01
Au 0.7742 0.2742 0.5484  6 Mg 2.81-3.01
Au 0.5000 0.7930 0.0000  2 Mg 2.90
Au 0.5000 0.2070 0.0000  2 Mg 2.90

## Properties
Fermi-level density of states, states/eV per atom: 0.77
Space-group type: Immm (71)
ΔE_f, meV/atom: -650

Record 7
SrCa2ZnCu: optimized geometry, GGA-PBE.

Unit cell a=5.6891 b=5.6891 c=4.8541 alpha=90.00 beta=90.00 gamma=90.00
Last column: nearest neighbours and their distance in Å.
Element x y z (fractional)
Sr 0.5000 0.5000 0.5000  8 Ca 3.74, 4 Zn 4.02
Zn 0.0000 0.0000 0.5000  2 Cu 2.43
Ca 0.0000 0.5000 0.0000  2 Cu 2.84
Ca 0.5000 0.0000 0.0000  2 Cu 2.84
Cu 0.0000 0.0000 0.0000  2 Zn 2.43

## Properties
Fermi-level density of states, states/eV per atom: 0.92
Space-group type: P4/mmm (123)
ΔE_f, meV/atom: 24

Record 8
Hf3Zr: optimized geometry, GGA-PBE.

Unit cell a=4.4854 b=4.4854 c=4.4854 alpha=90.00 beta=90.00 gamma=90.00
Last column: nearest neighbours and their distance in Å.
Element x y z (fractional)
Hf 0.0000 0.5000 0.5000  8 Hf 3.17, 4 Zr 3.17
Hf 0.5000 0.0000 0.5000  8 Hf 3.17, 4 Zr 3.17
Hf 0.5000 0.5000 0.0000  8 Hf 3.17, 4 Zr 3.17
Zr 0.0000 0.0000 0.0000  12 Hf 3.17

## Properties
Relative energy among the computed polymorphs, eV per atom: 0.066
Fermi-level density of states, states/eV per atom: 1.43
Space-group type: Pm-3m (221)
ΔE_f, meV/atom: 63

no.,density (g/cm³)
1,6.79
2,6.51
3,8.56
4,12.35
5,8.86
6,9.08
7,3.14
8,11.53